Crystalline SmDy6Tm2Sc at its relaxed geometry. Source: Alexandria, functional PBE-GGA.

Output
As for the crystal system: monoclinic. The value obtained for the magnetic moment is 0.00 μB/f.u. The value obtained for the total energy is -4.63 eV/atom. Its formation energy is 0.129 eV/atom. As for the density of states at the Fermi level: 28.5 states/eV/cell. Its symmetry is C2/c, No. 15.

```
SmDy6Tm2Sc
1.0
-8.688 -2.614 2.053
-1.575 0.283 -8.533
3.466 -7.325 3.115
Dy Sc Sm Tm
12 2 2 4
Cartesian
-6.385 -5.985 0.920 Dy
-8.750 -4.001 -4.775 Dy
-1.215 -7.509 1.570 Dy
-3.149 -3.006 -2.666 Dy
1.952 -5.654 1.411 Dy
-2.751 -3.767 -6.495 Dy
-5.583 -2.146 -4.934 Dy
-3.649 -6.650 -0.698 Dy
-4.047 -5.889 3.130 Dy
-2.505 -0.352 -4.371 Dy
-4.293 -9.303 1.007 Dy
-0.413 -3.671 -4.285 Dy
-6.000 -4.833 -2.161 Sc
-0.798 -4.822 -1.204 Sc
-3.184 -9.084 4.347 Sm
-3.614 -0.571 -7.712 Sm
-2.764 -6.026 -3.711 Tm
-6.587 -8.119 -1.480 Tm
-4.034 -3.630 0.347 Tm
-0.211 -1.537 -1.884 Tm
```

---

Crystalline Tb2ErTl at its relaxed geometry. Source: Alexandria, functional PBE-GGA.

Output
As for the crystal system: orthorhombic. The value obtained for the magnetic moment is 0.03 μB/f.u. The value obtained for the total energy is -4.21 eV/atom. Its formation energy is -0.160 eV/atom. As for the density of states at the Fermi level: 10.3 states/eV/cell. Its symmetry is Cmcm, No. 63.

```
Tb2ErTl
1.0
-1.392 -1.656 -2.910
6.486 -1.371 -0.062
-1.734 -8.462 5.646
Tl Tb Er
2 4 2
Cartesian
0.941 -8.290 2.009 Tl
2.420 -3.198 0.664 Tl
0.756 -1.675 -1.664 Tb
2.605 -9.813 4.338 Tb
3.359 -6.134 1.883 Tb
0.002 -5.355 0.791 Tb
4.206 -4.969 -1.441 Er
-0.845 -6.519 4.115 Er
```

---

Crystalline ZnInIr at its relaxed geometry. Source: Alexandria, functional PBE-GGA.

Output
As for the crystal system: hexagonal. The value obtained for the magnetic moment is 0.00 μB/f.u. The value obtained for the total energy is -4.36 eV/atom. Its formation energy is -0.065 eV/atom. As for the density of states at the Fermi level: 0.7 states/eV/cell. Its symmetry is P-6m2, No. 187.

```
ZnInIr
1.0
-2.655 -2.970 -1.820
3.763 -1.267 1.847
-1.439 -0.359 2.685
Zn In Ir
1 1 1
Cartesian
0.905 -2.014 1.966 Zn
0.000 0.000 0.000 In
-1.235 -2.582 0.745 Ir
```

---

Crystalline Ca3Zn3Te2O12 at its relaxed geometry. Source: Alexandria, functional PBE-GGA.

Output
As for the crystal system: cubic. The value obtained for the magnetic moment is 0.00 μB/f.u. The value obtained for the total energy is -5.68 eV/atom. The calculation puts the uncorrected formation energy at -1.90 eV/atom. As for the density of states at the Fermi level: 0.0 states/eV/cell. Its symmetry is Ia-3d, No. 230.

```
Ca3Zn3Te2O12
1.0
11.043 0.000 0.000
-3.681 10.411 0.000
-3.681 -5.206 9.016
Te Ca O Zn
8 12 48 12
Cartesian
5.521 0.000 0.000 Te
-1.840 5.206 0.000 Te
-3.681 2.603 4.508 Te
-1.840 -2.603 4.508 Te
0.000 0.000 0.000 Te
1.840 2.603 4.508 Te
3.681 -2.603 4.508 Te
3.681 5.206 0.000 Te
2.761 0.000 2.254 Ca
-0.920 0.651 3.381 Ca
0.920 3.254 1.127 Ca
2.761 1.952 7.889 Ca
6.442 5.206 2.254 Ca
2.761 -1.952 7.889 Ca
-2.761 5.856 5.635 Ca
-2.761 0.000 6.762 Ca
6.442 -0.651 3.381 Ca
0.920 7.158 1.127 Ca
0.920 5.206 6.762 Ca
4.601 4.555 5.635 Ca
7.973 3.837 0.679 O
4.641 6.193 3.829 O
-0.960 -0.988 5.187 O
4.910 3.933 0.846 O
5.753 3.337 3.662 O
0.960 2.822 6.246 O
1.340 0.719 4.295 O
0.960 -3.810 7.957 O
2.072 -2.238 5.567 O
-4.292 -1.272 8.171 O
-2.072 1.868 5.354 O
7.593 -1.868 5.354 O
8.702 -1.476 2.983 O
-2.800 4.218 3.829 O
-1.229 -1.369 8.337 O
-4.292 1.369 8.337 O
-1.229 1.272 8.171 O
-4.181 3.729 6.033 O
-3.912 7.074 3.662 O
2.721 2.383 2.770 O
4.562 -2.822 6.246 O
-1.340 4.448 7.278 O
4.181 -0.719 4.295 O
6.481 0.988 5.187 O
0.231 2.968 3.449 O
4.910 6.574 0.679 O
-0.611 5.109 1.525 O
1.229 -0.096 7.492 O
4.292 0.096 7.492 O
2.341 4.487 4.722 O
0.231 9.311 0.213 O
-0.500 5.925 4.722 O
4.562 3.810 7.957 O
3.450 2.238 5.567 O
0.500 -0.757 1.738 O
7.973 6.478 0.846 O
2.452 5.302 1.525 O
1.609 7.443 3.449 O
-0.881 8.028 2.770 O
3.180 5.963 7.278 O
2.721 9.016 1.059 O
2.072 4.106 8.803 O
1.609 1.100 0.213 O
-0.881 1.395 1.059 O
-5.021 6.682 6.033 O
7.862 1.476 2.983 O
3.450 -4.106 8.803 O
5.021 0.757 1.738 O
-0.920 2.603 6.762 Zn
-0.920 4.555 3.381 Zn
4.601 0.651 5.635 Zn
-0.920 -3.254 7.889 Zn
-4.601 3.254 7.889 Zn
6.442 -2.603 6.762 Zn
8.282 1.952 1.127 Zn
0.920 -0.651 5.635 Zn
2.761 5.856 3.381 Zn
4.601 2.603 2.254 Zn
4.601 8.459 1.127 Zn
-2.761 7.808 2.254 Zn
```